Here is a geometry-optimized Pu6BiPb structure from Alexandria. Energies are from PBE.

Lattice parameters (Å, degrees): 4.789 4.789 9.581 90.00 90.00 90.00
Space group P4/mmm (No. 123)
Asymmetric unit:
Pu 0.000 0.000 0.000 (multiplicity 1)
Pu 0.000 0.000 0.500 (multiplicity 1)
Pu 0.000 0.500 0.248 (multiplicity 4)
Bi 0.500 0.500 0.500 (multiplicity 1)
Pb 0.500 0.500 0.000 (multiplicity 1)

Calculated values
As for the final energy: -11.81 eV/atom. For the formation energy from the elements, the calculation gives -0.1081 eV/atom. For the total magnetic moment, the calculation gives 4.526 μB/atom.